[1]
The following is a DFT calculation (GGA-PBE) of K3HSe after structural relaxation.

Cell: 5.285 8.688 9.157 Å, 113.19 72.40 120.07°
Sites, in units of the cell vectors:
K: 0.738 0.612 0.384
K: 0.190 0.119 0.364
K: 0.689 0.335 0.684
K: 0.306 0.542 0.038
K: 0.355 0.819 0.738
K: 0.854 0.035 0.057
H: 0.765 0.720 0.830
H: 0.279 0.434 0.591
Se: 0.566 0.268 0.035
Se: 0.478 0.886 0.386

Properties
Its space-group type is P-1, No. 2. The calculation puts the distance to the lowest polymorph of the same formula at 18.4 meV per atom. As for the total magnetization: 0.0 μB per cell.

[2]
The following is a DFT calculation (GGA-PBE) of KHSe3 after structural relaxation.

Cell: 6.107 7.450 6.420 Å, 90.00 87.84 90.00°
Sites, in units of the cell vectors:
Se: 0.795 0.014 0.772
Se: 0.995 0.250 0.267
Se: 0.795 0.486 0.772
Se: 0.205 0.514 0.228
Se: 0.205 0.986 0.228
Se: 0.005 0.750 0.733
K: 0.706 0.750 0.244
K: 0.294 0.250 0.756
H: 0.904 0.250 0.045
H: 0.096 0.750 0.955

Properties
Its space-group type is P2_1/m, No. 11. The calculation puts the distance to the lowest polymorph of the same formula at 140.0 meV per atom. As for the total magnetization: 0.0 μB per cell.

[3]
The following is a DFT calculation (GGA-PBE) of KH2Se2 after structural relaxation.

Cell: 9.227 9.227 5.372 Å, 92.07 92.07 148.44°
Sites, in units of the cell vectors:
H: 0.353 0.577 0.765
H: 0.647 0.423 0.235
H: 0.923 0.147 0.735
H: 0.077 0.853 0.265
Se: 0.199 0.301 0.750
Se: 0.524 0.976 0.750
Se: 0.801 0.699 0.250
Se: 0.476 0.024 0.250
K: 0.911 0.589 0.750
K: 0.089 0.411 0.250

Properties
Its space-group type is C2/c, No. 15. For the total DFT energy (no corrections), the calculation gives -3.3128 eV per atom. As for the total magnetization: 0.0 μB per cell.

[4]
The following is a DFT calculation (GGA-PBE) of KHSe after structural relaxation.

Cell: 4.721 4.721 5.140 Å, 117.34 117.34 90.00°
Sites, in units of the cell vectors:
Se: 0.364 0.364 0.729
K: 0.931 0.931 0.863
H: 0.554 0.554 0.108

Properties
Its space-group type is I4mm, No. 107. For the total DFT energy (no corrections), the calculation gives -3.3102 eV per atom. As for the total magnetization: 0.0 μB per cell.

[5]
The following is a DFT calculation (GGA-PBE) of KH8Se2 after structural relaxation.

Cell: 7.051 3.256 9.421 Å, 109.83 116.82 63.59°
Sites, in units of the cell vectors:
H: 0.071 0.192 0.263
H: 0.809 0.930 0.737
H: 0.001 0.614 0.000
H: 0.706 0.206 0.411
H: 0.294 0.794 0.589
H: 0.191 0.070 0.263
H: 0.929 0.808 0.737
H: 0.999 0.386 0.000
Se: 0.331 0.331 0.662
Se: 0.669 0.669 0.338
K: 0.500 0.000 0.000

Properties
Its space-group type is C2/m, No. 12. For the total DFT energy (no corrections), the calculation gives -3.1835 eV per atom. As for the total magnetization: 0.0 μB per cell.

[6]
The following is a DFT calculation (GGA-PBE) of K3HSe after structural relaxation.

Cell: 5.178 5.178 5.178 Å, 90.00 90.00 90.00°
Sites, in units of the cell vectors:
K: 0.500 0.000 0.000
K: 0.000 0.000 0.500
K: 0.000 0.500 0.000
Se: 0.500 0.500 0.500
H: 0.000 0.000 0.000

Properties
Its space-group type is Pm-3m, No. 221. The calculation puts the distance to the lowest polymorph of the same formula at 0.0 meV per atom. As for the total magnetization: 0.0 μB per cell.

[7]
The following is a DFT calculation (GGA-PBE) of K3H5Se2 after structural relaxation.

Cell: 7.583 9.257 9.257 Å, 59.50 65.82 65.82°
Sites, in units of the cell vectors:
H: 0.065 0.185 0.185
H: 0.621 0.178 0.581
H: 0.379 0.822 0.419
H: 0.750 0.500 0.500
H: 0.935 0.815 0.815
H: 0.435 0.815 0.815
H: 0.565 0.185 0.185
H: 0.121 0.581 0.178
H: 0.879 0.419 0.822
H: 0.250 0.500 0.500
K: 0.384 0.506 0.726
K: 0.616 0.494 0.274
K: 0.116 0.274 0.494
K: 0.250 0.000 0.000
K: 0.884 0.726 0.506
K: 0.750 0.000 0.000
Se: 0.658 0.983 0.701
Se: 0.842 0.299 0.017
Se: 0.342 0.017 0.299
Se: 0.158 0.701 0.983

Properties
Its space-group type is Ibam, No. 72. For the total DFT energy (no corrections), the calculation gives -2.6900 eV per atom. As for the total magnetization: 0.3 μB per cell.

[8]
The following is a DFT calculation (GGA-PBE) of K12H5Se3 after structural relaxation.

Cell: 15.149 15.149 15.149 Å, 109.47 109.47 109.47°
Sites, in units of the cell vectors:
K: 0.586 0.872 0.405
K: 0.628 0.033 0.213
K: 0.713 0.586 0.180
K: 0.680 0.467 0.595
K: 0.820 0.914 0.287
K: 0.033 0.628 0.713
K: 0.213 0.533 0.628
K: 0.414 0.287 0.320
K: 0.905 0.086 0.872
K: 0.128 0.713 0.533
K: 0.872 0.287 0.467
K: 0.820 0.905 0.033
K: 0.713 0.128 0.033
K: 0.787 0.320 0.914
K: 0.287 0.872 0.967
K: 0.287 0.414 0.820
K: 0.180 0.086 0.713
K: 0.095 0.180 0.467
K: 0.872 0.586 0.905
K: 0.680 0.213 0.586
K: 0.405 0.372 0.586
K: 0.467 0.787 0.872
K: 0.595 0.628 0.414
K: 0.414 0.128 0.595
K: 0.914 0.095 0.628
K: 0.533 0.320 0.905
K: 0.372 0.405 0.086
K: 0.180 0.095 0.967
K: 0.967 0.595 0.180
K: 0.033 0.405 0.820
K: 0.405 0.033 0.320
K: 0.914 0.820 0.787
K: 0.467 0.680 0.095
K: 0.095 0.914 0.128
K: 0.372 0.967 0.787
K: 0.628 0.595 0.914
K: 0.213 0.680 0.086
K: 0.320 0.787 0.414
K: 0.595 0.967 0.680
K: 0.533 0.213 0.128
K: 0.967 0.372 0.287
K: 0.086 0.180 0.213
K: 0.586 0.713 0.680
K: 0.320 0.533 0.405
K: 0.086 0.905 0.372
K: 0.905 0.820 0.533
K: 0.128 0.414 0.095
K: 0.787 0.467 0.372
H: 0.250 0.875 0.125
H: 0.000 0.000 0.000
H: 0.000 0.500 0.500
H: 0.375 0.250 0.125
H: 0.125 0.750 0.375
H: 0.625 0.875 0.250
H: 0.375 0.125 0.750
H: 0.875 0.625 0.750
H: 0.750 0.125 0.875
H: 0.875 0.250 0.625
H: 0.500 0.500 0.000
H: 0.125 0.375 0.250
H: 0.250 0.375 0.625
H: 0.500 0.500 0.500
H: 0.625 0.750 0.875
H: 0.000 0.000 0.500
H: 0.500 0.000 0.000
H: 0.750 0.625 0.375
H: 0.000 0.500 0.000
H: 0.500 0.000 0.500
Se: 0.875 0.750 0.125
Se: 0.625 0.375 0.750
Se: 0.125 0.250 0.875
Se: 0.375 0.750 0.625
Se: 0.750 0.875 0.625
Se: 0.250 0.625 0.875
Se: 0.375 0.625 0.250
Se: 0.750 0.375 0.125
Se: 0.875 0.125 0.250
Se: 0.250 0.125 0.375
Se: 0.125 0.875 0.750
Se: 0.625 0.250 0.375

Properties
Its space-group type is Ia-3d, No. 230. For the total DFT energy (no corrections), the calculation gives -2.5384 eV per atom. As for the total magnetization: 3.9 μB per cell.

[9]
The following is a DFT calculation (GGA-PBE) of KHSe after structural relaxation.

Cell: 3.958 4.969 4.971 Å, 59.99 89.93 89.97°
Sites, in units of the cell vectors:
K: 0.435 0.694 0.474
Se: 0.918 0.361 0.140
H: 0.295 0.362 0.141

Properties
Its space-group type is P3m1, No. 156. For the total DFT energy (no corrections), the calculation gives -3.2954 eV per atom. As for the total magnetization: 0.0 μB per cell.

[10]
The following is a DFT calculation (GGA-PBE) of K3H4Se after structural relaxation.

Cell: 4.274 5.453 9.998 Å, 108.10 102.34 90.00°
Sites, in units of the cell vectors:
H: 0.372 0.312 0.744
H: 0.403 0.249 0.805
H: 0.628 0.688 0.256
H: 0.597 0.751 0.195
Se: 0.500 0.000 0.000
K: 0.141 0.162 0.283
K: 0.000 0.500 0.000
K: 0.859 0.838 0.717

Properties
Its space-group type is C2/m, No. 12. For the total DFT energy (no corrections), the calculation gives -2.8637 eV per atom. As for the total magnetization: 0.0 μB per cell.

[11]
The following is a DFT calculation (GGA-PBE) of KHSe3 after structural relaxation.

Cell: 4.619 4.619 4.619 Å, 90.00 90.00 90.00°
Sites, in units of the cell vectors:
Se: 0.000 0.000 0.500
Se: 0.000 0.500 0.000
Se: 0.500 0.000 0.000
K: 0.500 0.500 0.500
H: 0.000 0.000 0.000

Properties
Its space-group type is Pm-3m, No. 221. The calculation puts the distance to the lowest polymorph of the same formula at 625.7 meV per atom. As for the total magnetization: 0.0 μB per cell.

[12]
The following is a DFT calculation (GGA-PBE) of KH3Se after structural relaxation.

Cell: 4.082 4.082 4.082 Å, 90.00 90.00 90.00°
Sites, in units of the cell vectors:
Se: 0.000 0.000 0.000
H: 0.500 0.000 0.000
H: 0.000 0.000 0.500
H: 0.000 0.500 0.000
K: 0.500 0.500 0.500

Properties
Its space-group type is Pm-3m, No. 221. The calculation puts the distance to the lowest polymorph of the same formula at 577.3 meV per atom. As for the total magnetization: 0.0 μB per cell.

Which formula does entry 5 have? KH8Se2